# 1
Compound: CaInTcB2
Source: the Alexandria database
Functional: meta-GGA SCAN
Structure: single point on PBEsol structure

Calculated values
- Energy relative to the elements: 2.526 eV per atom
- E: -80.340 eV/f.u.

Lattice parameters (Å, degrees): 4.496 4.496 4.807 90.00 90.00 90.00
Space group P4/mmm (No. 123)
Asymmetric unit:
Ca1 0.000 0.000 0.000 x1
In1 0.500 0.500 0.500 x1
Tc1 0.000 0.000 0.500 x1
B1 0.000 0.500 0.000 x2

---

# 2
Compound: CaTl2InB
Source: the Alexandria database
Functional: meta-GGA SCAN
Structure: single point on PBEsol structure

Calculated values
- Energy relative to the elements: 0.397 eV per atom
- E: -193.209 eV/f.u.

Lattice parameters (Å, degrees): 5.012 5.012 4.827 90.00 90.00 90.00
Space group P4/mmm (No. 123)
Asymmetric unit:
Ca1 0.000 0.000 0.000 x1
Tl1 0.000 0.500 0.500 x2
In1 0.500 0.500 0.000 x1
B1 0.500 0.500 0.500 x1

---

# 3
Compound: Ca2BIrPd
Source: the Alexandria database
Functional: meta-GGA SCAN
Structure: single point on PBEsol structure

Calculated values
- Energy relative to the elements: -0.269 eV per atom
- E: -131.973 eV/f.u.

Lattice parameters (Å, degrees): 5.030 5.030 3.917 90.00 90.00 90.00
Space group P4/mmm (No. 123)
Asymmetric unit:
Ca1 0.000 0.500 0.000 x2
B1 0.000 0.000 0.000 x1
Ir1 0.000 0.000 0.500 x1
Pd1 0.500 0.500 0.500 x1